[1]
MnCdAu2O6: optimized geometry, GGA+U.

Cell lengths 7.0848, 7.0848, 7.0384 Å; angles 105.04, 105.04, 89.28 degrees
With the nearest neighbours (Å) after each atom.
Fractional coordinates of all 20 atoms:
Mn  0.1133  0.8867  0.7500  4 O 1.66-1.75
Mn  0.8867  0.1133  0.2500  4 O 1.66-1.75
Cd  0.2079  0.7921  0.2500  6 O 2.19-2.36
Cd  0.7921  0.2079  0.7500  6 O 2.19-2.36
Au  0.3597  0.3646  0.4292  3 O 2.01-2.14
Au  0.3646  0.3597  0.9292  3 O 2.01-2.14
Au  0.6354  0.6403  0.0708  3 O 2.01-2.14
Au  0.6403  0.6354  0.5708  3 O 2.01-2.14
O  0.1264  0.1432  0.8091  1 Mn 1.75
O  0.1432  0.1264  0.3091  1 Mn 1.75
O  0.2012  0.7768  0.5544  1 Mn 1.66
O  0.2232  0.7988  0.9456  1 Mn 1.66
O  0.2612  0.4558  0.1757  2 Au 2.01
O  0.4558  0.2612  0.6757  2 Au 2.01
O  0.5442  0.7388  0.3243  2 Au 2.01
O  0.7388  0.5442  0.8243  2 Au 2.01
O  0.7768  0.2012  0.0544  1 Mn 1.66
O  0.7988  0.2232  0.4456  1 Mn 1.66
O  0.8568  0.8736  0.6909  1 Mn 1.75
O  0.8736  0.8568  0.1909  1 Mn 1.75

Results
D(E_F)	0.423	states/eV per atom
V	164	Å³/f.u.
total DFT energy (no corrections)	-4.907	eV per atom

[2]
MnCdAuO4: optimized geometry, GGA+U.

Cell lengths 6.9921, 6.9921, 6.9921 Å; angles 130.67, 128.17, 74.35 degrees
With the nearest neighbours (Å) after each atom.
Fractional coordinates of all 14 atoms:
Mn  0.5000  0.0000  0.0000  4 O 1.95
Mn  0.5000  0.5000  0.5000  4 O 1.95
Cd  0.1241  0.3741  0.7500  4 O 2.18-2.31
Cd  0.8759  0.6259  0.2500  4 O 2.18-2.31
Au  0.0000  0.0000  0.0000  4 O 2.05
Au  0.5000  0.0000  0.5000  4 O 2.05
O  0.2752  0.2545  0.4794  2 Au 2.05
O  0.2752  0.7958  0.0206  2 Au 2.05
O  0.2793  0.7399  0.5394  2 Mn 1.95, 1 Cd 2.18
O  0.2995  0.2601  0.0394  2 Mn 1.95, 1 Cd 2.18
O  0.7005  0.7399  0.9606  2 Mn 1.95, 1 Cd 2.18
O  0.7207  0.2601  0.4606  2 Mn 1.95, 1 Cd 2.18
O  0.7248  0.2042  0.9794  2 Au 2.05
O  0.7248  0.7455  0.5206  2 Au 2.05

Results
V	99	Å³/f.u.
total DFT energy (no corrections)	-5.359	eV per atom